1.
Nb4AsS after structural relaxation, computed with PBE.

Cell: 7.798 11.531 6.163 Å, 90.00 129.17 90.00°
Space group C2/c (No. 15)
Inequivalent atoms, fractional coordinates:
Nb  0.195  0.202  0.248 x8
Nb  0.197  0.044  0.782 x8
As  0.000  0.402  0.250 x4
S  0.000  0.223  0.750 x4

Computed properties:
**Size of the total moment**: 0.000 μB per formula unit
**Raw total energy**: -204.26 eV/cell
**E_form (uncorrected)**: -2.01 eV per formula unit

---

2.
NaBi after structural relaxation, computed with PBE.

Cell: 8.903 8.903 8.903 Å, 90.00 90.00 90.00°
Space group Pm-3n (No. 223)
Inequivalent atoms, fractional coordinates:
Na  0.000  0.250  0.500 x6
Bi  0.000  0.500  0.250 x6

Computed properties:
**Formation enthalpy at 0 K**: 0.5386 eV/atom
**Excess energy over the best structure of this formula in the dataset**: 0.8438 eV/atom
**Size of the total moment**: 1.346 μB per formula unit
**Raw total energy**: -24.74 eV/cell

---

3.
HfTiHg2 after structural relaxation, computed with PBE.

Cell: 4.383 4.383 4.163 Å, 90.00 90.00 90.00°
Space group P4/mmm (No. 123)
Inequivalent atoms, fractional coordinates:
Hf  0.000  0.000  0.000 x1
Ti  0.500  0.500  0.000 x1
Hg  0.000  0.500  0.500 x2

Computed properties:
**Formation enthalpy at 0 K**: -0.0168 eV/atom
**Excess energy over the best structure of this formula in the dataset**: 0.0000 eV/atom
**Size of the total moment**: 1.145 μB per formula unit
**Raw total energy**: -18.52 eV/cell

---

4.
CdCuAg after structural relaxation, computed with PBE.

Cell: 4.386 5.262 5.644 Å, 117.68 90.24 114.29°
Space group P-1 (No. 2)
Inequivalent atoms, fractional coordinates:
Cd  0.180  0.360  0.115 x2
Cu  0.151  0.300  0.591 x2
Ag  0.473  0.949  0.727 x2

Computed properties:
**Formation enthalpy at 0 K**: 0.0433 eV/atom
**Excess energy over the best structure of this formula in the dataset**: 0.0000 eV/atom
**Size of the total moment**: 0.000 μB per formula unit
**Raw total energy**: -15.47 eV/cell

---

5.
Th4TlGa after structural relaxation, computed with PBE.

Cell: 7.651 7.651 6.059 Å, 90.00 90.00 90.00°
Space group P4/mcc (No. 124)
Inequivalent atoms, fractional coordinates:
Th  0.146  0.335  0.000 x8
Tl  0.500  0.500  0.250 x2
Ga  0.000  0.000  0.250 x2

Computed properties:
**Formation enthalpy at 0 K**: -0.2142 eV/atom
**Size of the total moment**: 0.000 μB per formula unit
**Raw total energy**: -72.72 eV/cell

---

6.
BRu after structural relaxation, computed with PBE.

Cell: 2.847 3.550 4.151 Å, 90.00 109.83 90.00°
Space group P2_1/m (No. 11)
Inequivalent atoms, fractional coordinates:
B  0.072  0.250  0.158 x2
Ru  0.356  0.250  0.727 x2

Computed properties:
**Formation enthalpy at 0 K**: -0.2329 eV/atom
**Size of the total moment**: 0.000 μB per formula unit
**Raw total energy**: -32.84 eV/cell